No. 1
Density functional theory data (PBE-GGA) for a relaxed Cr3ICl crystal.

Cell: 5.5130 5.5130 5.5130 Å, 90.00 90.00 90.00°
Positions (direct):
1 I 0.0000 0.0000 0.0000
2 Cr 0.0000 0.5000 0.0000
3 Cl 0.5000 0.5000 0.5000
4 Cr 0.0000 0.0000 0.5000
5 Cr 0.5000 0.0000 0.0000

Its crystal system is cubic. The calculation puts the spin magnetization at 15.63 μB per cell. As for the raw total energy: -5.269 eV per atom. The formation energy (no corrections) is 1.18 eV/atom.

=====

No. 2
Density functional theory data (PBE-GGA) for a relaxed Ti2PbAu crystal.

Cell: 7.4975 7.4975 6.0663 Å, 51.83 51.83 90.00°
Positions (direct):
1 Ti 0.6034 0.1250 0.2500
2 Ti 0.8750 0.8534 0.7500
3 Au 0.2500 0.7500 0.5000
4 Pb 0.0000 0.0000 0.0000
5 Au 0.5000 0.5000 0.0000
6 Ti 0.3750 0.3966 0.7500
7 Pb 0.7500 0.2500 0.5000
8 Ti 0.1466 0.6250 0.2500

Its crystal system is tetragonal. For the energy relative to the elements, the calculation gives 0.491 eV/f.u. The calculation puts the spin magnetization at 0.00 μB per cell. As for the raw total energy: -5.571 eV per atom.

=====

No. 3
Density functional theory data (PBE-GGA) for a relaxed LaTlSb2 crystal.

Cell: 5.5722 5.5722 5.5722 Å, 60.00 60.00 60.00°
Positions (direct):
1 La 0.0000 0.0000 0.0000
2 Sb 0.2500 0.2500 0.2500
3 Tl 0.5000 0.5000 0.5000
4 Sb 0.7500 0.7500 0.7500

Its crystal system is cubic. The calculation puts the spin magnetization at 0.00 μB per cell. As for the raw total energy: -4.293 eV per atom. The formation energy (no corrections) is -0.41 eV/atom.

=====

No. 4
Density functional theory data (PBE-GGA) for a relaxed CaMoW2 crystal.

Cell: 4.7551 3.9152 3.9152 Å, 90.00 90.00 90.00°
Positions (direct):
1 Mo 0.5000 0.0000 0.5000
2 Ca 0.5000 0.5000 0.0000
3 W 0.0000 0.0000 0.0000
4 W 0.0000 0.5000 0.5000

Its crystal system is tetragonal. For the energy relative to the elements, the calculation gives 4.311 eV/f.u. The calculation puts the spin magnetization at 0.74 μB per cell. As for the raw total energy: -8.607 eV per atom.

=====

No. 5
Density functional theory data (PBE-GGA) for a relaxed KPr3Te8 crystal.

Cell: 12.9948 9.0500 14.4740 Å, 81.06 90.00 90.00°
Positions (direct):
1 Te 0.2508 0.4561 0.1769
2 Te 0.2712 0.2922 0.8329
3 Te 0.7492 0.5439 0.8231
4 Pr 0.7506 0.9126 0.3476
5 Te 0.5809 0.9471 0.1719
6 Te 0.9199 0.9666 0.1726
7 Pr 0.9153 0.5806 0.6492
8 Te 0.7508 0.0439 0.8231
9 Te 0.0957 0.7067 0.1745
10 Pr 0.9162 0.0957 0.6471
11 Te 0.7544 0.8550 0.5805
12 Te 0.5801 0.4666 0.1726
13 Te 0.4043 0.2067 0.1745
14 Pr 0.5838 0.5957 0.6471
15 Te 0.7288 0.7078 0.1671
16 Te 0.2456 0.1450 0.4195
17 Te 0.2544 0.6450 0.4195
18 Te 0.2288 0.7922 0.8329
19 Te 0.9201 0.1484 0.4142
20 K 0.4069 0.7414 0.0354
21 Te 0.4199 0.5334 0.8274
22 Te 0.4147 0.8565 0.5833
23 K 0.5931 0.2586 0.9646
24 Pr 0.2506 0.5874 0.6524
25 Pr 0.0838 0.9043 0.3529
26 Pr 0.0847 0.4194 0.3508
27 Te 0.5853 0.1435 0.4167
28 Te 0.0799 0.8516 0.5858
29 Te 0.7712 0.2078 0.1671
30 Pr 0.5847 0.0806 0.6492
31 Te 0.2492 0.9561 0.1769
32 Te 0.9043 0.2933 0.8255
33 Te 0.5799 0.6484 0.4142
34 Te 0.0853 0.3565 0.5833
35 Pr 0.2494 0.0874 0.6524
36 Te 0.4201 0.3516 0.5858
37 Te 0.0801 0.0334 0.8274
38 K 0.9069 0.7586 0.9646
39 Te 0.5957 0.7933 0.8255
40 Te 0.0809 0.5529 0.8281
41 Pr 0.4153 0.9194 0.3508
42 Pr 0.4162 0.4043 0.3529
43 Te 0.4191 0.0529 0.8281
44 K 0.0931 0.2414 0.0354
45 Te 0.9191 0.4471 0.1719
46 Te 0.7456 0.3550 0.5805
47 Pr 0.7494 0.4126 0.3476
48 Te 0.9147 0.6435 0.4167

Its crystal system is monoclinic. The calculation puts the spin magnetization at 0.00 μB per cell. As for the raw total energy: -4.534 eV per atom. The formation energy (no corrections) is -1.15 eV/atom.

=====

No. 6
Density functional theory data (PBE-GGA) for a relaxed NaNbHgSe2 crystal.

Cell: 5.0977 4.9672 5.0977 Å, 90.00 90.00 90.00°
Positions (direct):
1 Hg 0.0000 0.5000 0.0000
2 Se 0.5000 0.0000 0.0000
3 Nb 0.5000 0.5000 0.5000
4 Se 0.0000 0.0000 0.5000
5 Na 0.0000 0.0000 0.0000

Its crystal system is tetragonal. The calculation puts the spin magnetization at 2.05 μB per cell. As for the raw total energy: -2.957 eV per atom. The formation energy (no corrections) is 0.78 eV/atom.

=====

No. 7
Density functional theory data (PBE-GGA) for a relaxed BeOsW2 crystal.

Cell: 4.8564 4.8564 4.8564 Å, 134.76 134.76 65.90°
Positions (direct):
1 W 0.0000 0.0000 0.0000
2 W 0.5000 0.5000 0.0000
3 Os 0.7500 0.2500 0.5000
4 Be 0.2500 0.7500 0.5000

Its crystal system is tetragonal. For the energy relative to the elements, the calculation gives 0.932 eV/f.u. The calculation puts the spin magnetization at 0.00 μB per cell. As for the raw total energy: -9.983 eV per atom.

=====

No. 8
Density functional theory data (PBE-GGA) for a relaxed HoBe2Cu9 crystal.

Cell: 6.3032 7.6425 7.6425 Å, 80.21 65.65 65.65°
Positions (direct):
1 Ho 0.5000 0.0000 0.0000
2 Be 0.8750 0.2500 0.7500
3 Cu 0.4422 0.4202 0.8245
4 Cu 0.7500 0.5000 0.5000
5 Cu 0.6124 0.3245 0.0798
6 Cu 0.3078 0.6755 0.0798
7 Cu 0.1376 0.1755 0.4202
8 Be 0.8750 0.7500 0.2500
9 Cu 0.3078 0.0798 0.6755
10 Be 0.3750 0.7500 0.7500
11 Cu 0.0000 0.0000 0.0000
12 Cu 0.0631 0.3245 0.9202
13 Ho 0.2500 0.5000 0.5000
14 Cu 0.6124 0.0798 0.3245
15 Cu 0.7333 0.5798 0.8245
16 Be 0.8750 0.2500 0.2500
17 Cu 0.7333 0.8245 0.5798
18 Cu 0.4422 0.8245 0.4202
19 Cu 0.0631 0.9202 0.3245
20 Cu 0.0167 0.9202 0.6755
21 Cu 0.6869 0.5798 0.1755
22 Cu 0.0167 0.6755 0.9202
23 Cu 0.6869 0.1755 0.5798
24 Cu 0.1376 0.4202 0.1755

Its crystal system is tetragonal. For the energy relative to the elements, the calculation gives -1.434 eV/f.u. The calculation puts the spin magnetization at 0.00 μB per cell. As for the raw total energy: -4.194 eV per atom.

=====

No. 9
Density functional theory data (PBE-GGA) for a relaxed YCo2BiSb crystal.

Cell: 4.7307 5.7945 4.7307 Å, 90.00 90.00 90.00°
Positions (direct):
1 Co 0.5000 0.0000 0.0000
2 Bi 0.5000 0.5000 0.5000
3 Y 0.0000 0.5000 0.0000
4 Co 0.0000 0.0000 0.5000
5 Sb 0.0000 0.0000 0.0000

Its crystal system is tetragonal. The calculation puts the spin magnetization at 3.12 μB per cell. As for the raw total energy: -5.291 eV per atom. The formation energy (no corrections) is 0.44 eV/atom.

=====

No. 10
Density functional theory data (PBE-GGA) for a relaxed PmZnHPt2 crystal.

Cell: 3.9717 5.7900 7.4449 Å, 90.00 90.00 110.06°
Positions (direct):
1 Pt 0.8451 0.6901 0.4444
2 Zn 0.7287 0.4575 0.7500
3 H 0.0000 0.0000 0.5000
4 Pt 0.8451 0.6901 0.0556
5 Pt 0.1549 0.3099 0.9444
6 Zn 0.2713 0.5425 0.2500
7 Pm 0.4456 0.8913 0.7500
8 Pt 0.1549 0.3099 0.5556
9 Pm 0.5544 0.1087 0.2500
10 H 0.0000 0.0000 0.0000

Its crystal system is orthorhombic. The calculation puts the spin magnetization at 0.00 μB per cell. As for the raw total energy: -5.030 eV per atom.

=====

No. 11
Density functional theory data (PBE-GGA) for a relaxed LiPmCuBi crystal.

Cell: 5.1138 5.1138 5.1138 Å, 60.00 60.00 60.00°
Positions (direct):
1 Bi 0.7500 0.7500 0.7500
2 Pm 0.0000 0.0000 0.0000
3 Cu 0.2500 0.2500 0.2500
4 Li 0.5000 0.5000 0.5000

Its crystal system is cubic. For the energy relative to the elements, the calculation gives -1.287 eV/f.u. The calculation puts the spin magnetization at 0.00 μB per cell. As for the raw total energy: -3.982 eV per atom.

=====

No. 12
Density functional theory data (PBE-GGA) for a relaxed LaTl2Cl crystal.

Cell: 5.5432 5.5432 5.5432 Å, 60.00 60.00 60.00°
Positions (direct):
1 Tl 0.7500 0.7500 0.7500
2 Cl 0.0000 0.0000 0.0000
3 Tl 0.2500 0.2500 0.2500
4 La 0.5000 0.5000 0.5000

Its crystal system is cubic. The calculation puts the spin magnetization at 0.00 μB per cell. As for the raw total energy: -3.161 eV per atom. The formation energy (no corrections) is -0.28 eV/atom.